Entry from Alexandria via LeMat-Bulk: La3MgSe at its PBEsol-relaxed geometry (meta-GGA SCAN).

Values from the calculation:
* theoretical density: 4.73 g/cm3
* total magnetization: 0.0 μB/cell
* uncorrected formation energy: 168 meV/atom
* energy: -30.705 eV/atom

a b c (Å): 5.672 5.672 5.672
angles (deg): 90.00 90.00 90.00
Positions (direct):
Mg: 0.000 0.000 0.000
Se: 0.500 0.500 0.500
La: 0.000 0.500 0.000
La: 0.000 0.000 0.500
La: 0.500 0.000 0.000